1.
VASP calculation (PBE) on a geometry-optimized PmGa2Cu structure.

a = 5.7280 Å, b = 6.6854 Å, c = 7.9818 Å
α = 90.00°, β = 90.00°, γ = 90.00°
With the nearest neighbours (Å) after each atom.
Element x y z (fractional)
Ga 0.6104 0.0557 0.6854  3 Cu 2.57-2.65, 1 Ga 2.60
Ga 0.3896 0.5557 0.3146  3 Cu 2.57-2.65, 1 Ga 2.60
Ga 0.1104 0.5557 0.8146  3 Cu 2.57-2.65, 1 Ga 2.60
Ga 0.1104 0.9443 0.8146  3 Cu 2.57-2.65, 1 Ga 2.60
Ga 0.8896 0.0557 0.1854  3 Cu 2.57-2.65, 1 Ga 2.60
Ga 0.3896 0.9443 0.3146  3 Cu 2.57-2.65, 1 Ga 2.60
Ga 0.6104 0.4443 0.6854  3 Cu 2.57-2.65, 1 Ga 2.60
Ga 0.8896 0.4443 0.1854  3 Cu 2.57-2.65, 1 Ga 2.60
Cu 0.3704 0.7500 0.5933  6 Ga 2.57-2.65
Cu 0.1296 0.7500 0.0933  6 Ga 2.57-2.65
Cu 0.6296 0.2500 0.4067  6 Ga 2.57-2.65
Cu 0.8704 0.2500 0.9067  6 Ga 2.57-2.65
Pm 0.1249 0.2500 0.5361  3 Cu 3.02-3.30, 8 Ga 3.02-3.37
Pm 0.6249 0.7500 0.9639  3 Cu 3.02-3.30, 8 Ga 3.02-3.37
Pm 0.8751 0.7500 0.4639  3 Cu 3.02-3.30, 8 Ga 3.02-3.37
Pm 0.3751 0.2500 0.0361  3 Cu 3.02-3.30, 8 Ga 3.02-3.37

Computed properties:
For the excess energy over the best structure of this formula in the dataset, the calculation gives 21 meV per atom. The total energy comes out at -16.76 eV/f.u. As for the size of the total moment: 0.0 Bohr magnetons per cell. The symmetry is No. 62. The value obtained for the energy of formation is -464 meV per atom.



2.
VASP calculation (PBE) on a geometry-optimized Pm3GaCu2 structure.

a = 3.5698 Å, b = 3.5698 Å, c = 11.0048 Å
α = 90.00°, β = 90.00°, γ = 90.00°
With the nearest neighbours (Å) after each atom.
Element x y z (fractional)
Pm 0.0000 0.0000 0.6729  4 Cu 3.11, 4 Ga 3.16
Pm 0.0000 0.0000 0.0000  8 Cu 3.09
Pm 0.0000 0.0000 0.3271  4 Cu 3.11, 4 Ga 3.16
Cu 0.5000 0.5000 0.8384  8 Pm 3.09-3.11
Cu 0.5000 0.5000 0.1616  8 Pm 3.09-3.11
Ga 0.5000 0.5000 0.5000  8 Pm 3.16

Computed properties:
The total energy comes out at -27.22 eV/f.u. As for the size of the total moment: 0.0 Bohr magnetons per cell. The symmetry is No. 123. The value obtained for the energy of formation is -292 meV per atom.